## AcVClO2 (GGA+U)

Data for an optimized crystal structure of AcVClO2.

```
AcVClO2
1.0
-3.505 -1.861 1.549
2.146 -1.125 3.504
-1.489 4.865 2.475
V Cl O Ac
1 1 2 1
direct
0.000 0.000 0.999
0.000 0.000 0.450
0.000 0.500 0.918
0.500 0.000 0.918
0.500 0.500 0.716
```

The value obtained for the volume is 103 Å³/cell. As for the total energy: -6.993 eV per atom. The space-group type is P4mm. The calculation puts the magnetization at 3.00 μB per formula unit.